## Li2Fe3Co3O12 (PBE+U)

Data for a geometry-optimized Li2Fe3Co3O12 structure.

abc: 5.8175 5.8905 6.8112
angles: 73.92 77.18 89.19
With the nearest neighbours (Å) after each atom.
Space group P-1 (No. 2)
Unique sites:
Li (0.1913, 0.1886, 0.3063)  4 O 2.04-2.13
Fe (0.0000, 0.0000, 0.0000)  6 O 1.92-1.95
Fe (0.3321, 0.3494, 0.6777)  6 O 1.98-2.09
Co (0.1650, 0.6667, 0.3303)  6 O 1.88-1.93
Co (0.5000, 0.0000, 0.0000)  6 O 1.89-1.93
O (0.0652, 0.1045, 0.6994)  1 Co 1.89, 2 Fe 1.92-2.09
O (0.0704, 0.5737, 0.6319)  2 Co 1.91-1.93, 1 Fe 2.02, 1 Li 2.11
O (0.2478, 0.7757, 0.0306)  2 Co 1.91-1.93, 1 Fe 1.95
O (0.2527, 0.2126, 0.9909)  1 Co 1.89, 2 Fe 1.92-2.01, 1 Li 2.06
O (0.3915, 0.4373, 0.3600)  1 Co 1.88, 2 Fe 1.98-2.03, 1 Li 2.04
O (0.4090, 0.8961, 0.2954)  2 Co 1.89-1.90, 1 Fe 2.08

Calculated values
density = 4.2 Mg/m³
total energy = -118.4 eV per cell